The following is a DFT calculation (PBE-GGA) of a geometry-optimized IrOsAu2 structure.

a b c (Å): 4.0286 4.0286 7.8896
angles (deg): 90.00 90.00 90.00
Space group I4/mmm (No. 139)
Unique sites:
Ir (0.0000, 0.0000, 0.0000) (multiplicity 2)
Os (0.0000, 0.0000, 0.5000) (multiplicity 2)
Au (0.0000, 0.5000, 0.2500) (multiplicity 4)

Computed properties:
**E**: -47.73 eV/cell
**Distance to the lowest polymorph of the same formula**: 177 kJ/mol of formula units
**Formation energy**: 695.2 meV per atom